(1)
{
  "formula": "CeTh2Ge2Rh7",
  "functional": "PBE-GGA",
  "state": "relaxed",
  "vol_a3_per_cell": 223.08,
  "formation_enthalpy_0k_ev_per_atom": -0.7798,
  "cell": [[2.946, -2.893, 0.000], [2.946, 2.893, 0.000], [-1.537, 0.000, 13.084]],
  "species": ["Ce", "Th", "Th", "Ge", "Ge", "Rh", "Rh", "Rh", "Rh", "Rh", "Rh", "Rh"],
  "frac_coords": [[0.000, 0.000, 0.000], [0.081, 0.081, 0.349], [0.919, 0.919, 0.651], [0.436, 0.436, 0.743], [0.564, 0.564, 0.257], [0.039, 0.540, 0.158], [0.330, 0.330, 0.557], [0.460, 0.961, 0.842], [0.500, 0.500, 0.000], [0.540, 0.039, 0.158], [0.670, 0.670, 0.443], [0.961, 0.460, 0.842]]
}

---

(2)
{
  "formula": "BaErMgCd",
  "functional": "PBE-GGA",
  "state": "relaxed",
  "vol_a3_per_cell": 128.06,
  "formation_enthalpy_0k_ev_per_atom": -0.0487,
  "cell": [[0.000, 4.001, 4.001], [4.001, 0.000, 4.001], [4.001, 4.001, 0.000]],
  "species": ["Ba", "Er", "Mg", "Cd"],
  "frac_coords": [[0.000, 0.000, 0.000], [0.500, 0.500, 0.500], [0.250, 0.250, 0.250], [0.750, 0.750, 0.750]]
}

---

(3)
{
  "formula": "BaVW2",
  "functional": "PBE-GGA",
  "state": "relaxed",
  "relative_energy_ev_per_atom": 0.000,
  "vol_a3_per_cell": 75.95,
  "formation_enthalpy_0k_ev_per_atom": 1.5381,
  "cell": [[0.000, 3.361, 3.361], [3.361, 0.000, 3.361], [3.361, 3.361, 0.000]],
  "species": ["Ba", "V", "W", "W"],
  "frac_coords": [[0.000, 0.000, 0.000], [0.500, 0.500, 0.500], [0.250, 0.250, 0.250], [0.750, 0.750, 0.750]]
}

---

(4)
{
  "formula": "Tb2NiSe",
  "functional": "PBE-GGA",
  "state": "relaxed",
  "relative_energy_ev_per_atom": 0.223,
  "vol_a3_per_cell": 86.17,
  "cell": [[3.506, 0.000, 0.000], [0.000, 3.506, 0.000], [0.000, 0.000, 7.010]],
  "species": ["Tb", "Tb", "Ni", "Se"],
  "frac_coords": [[0.000, 0.000, 0.233], [0.000, 0.000, 0.767], [0.500, 0.500, 0.000], [0.500, 0.500, 0.500]]
}

---

In order of appearance, total magnetic moment = 0.00, 0.00, 0.00, 0.00 μB per cell.